No. 1
## LiCa3P (GGA-PBE)

Data for a relaxed LiCa3P crystal.

Energy of formation from the pure elements: -253 kJ/mol of formula units
Distance to the lowest polymorph of the same formula: 0.003 eV per atom
N(E_F): 0.60 states/eV/atom
Energy: -3.19 eV/atom
Space group: C2/m, No. 12

Cell lengths 4.0291, 7.7692, 10.2615 Å; angles 103.14, 101.31, 105.06 degrees
Last column: nearest neighbours and their distance in Å.
Positions (direct):
P 0.3648 0.5843 0.3313  1 Li 2.63, 2 Ca 2.91
P 0.4872 0.2500 0.9107  1 Li 2.63, 2 Ca 2.91
Ca 0.6666 0.3001 0.2198  3 P 2.91-3.02, 2 Li 3.13
Ca 0.0308 0.6730 0.5747  2 P 3.09, 4 Li 3.20-3.38, 1 Ca 3.41
Ca 0.8215 0.1617 0.6675  2 P 3.09, 4 Li 3.20-3.38, 1 Ca 3.41
Ca 0.8587 0.9694 0.9354  2 P 2.98
Ca 0.1853 0.5342 0.0223  3 P 2.91-3.02, 2 Li 3.13
Ca 0.9931 0.8649 0.3067  2 P 2.98
Li 0.3025 0.3295 0.4634  1 P 2.63
Li 0.5492 0.5051 0.7788  1 P 2.63



No. 2
## LiCa3P (GGA-PBE)

Data for a relaxed LiCa3P crystal.

Energy of formation from the pure elements: -254 kJ/mol of formula units
Distance to the lowest polymorph of the same formula: 0.000 eV per atom
N(E_F): 0.51 states/eV/atom
Energy: -3.19 eV/atom
Space group: P1, No. 1

Cell lengths 4.0021, 8.5803, 9.8531 Å; angles 115.38, 90.00, 76.44 degrees
Last column: nearest neighbours and their distance in Å.
Positions (direct):
P 0.9737 0.3258 0.7233  7 Ca 2.92-3.03, 1 Li 2.94
P 0.6895 0.8941 0.8378  7 Ca 2.87-3.17, 1 Li 3.11
Ca 0.4816 0.3097 0.9331  3 P 2.92-3.17
Ca 0.3377 0.5974 0.7409  4 P 2.97-2.99, 2 Li 3.16
Ca 0.8766 0.5209 0.3522  2 Li 3.34
Ca 0.1261 0.0206 0.0713  2 P 2.87-2.88
Ca 0.1661 0.9412 0.6469  3 P 2.89-2.95
Ca 0.5524 0.1684 0.4671  2 P 3.03
Li 0.8080 0.6562 0.0075  2 P 2.94-3.11, 2 Li 2.99, 2 Ca 3.16
Li 0.2482 0.7763 0.2584  2 Li 2.99, 3 Ca 3.30-3.34



No. 3
## LiCa3P (GGA-PBE)

Data for a relaxed LiCa3P crystal.

Energy of formation from the pure elements: -150 kJ/mol of formula units
Distance to the lowest polymorph of the same formula: 0.216 eV per atom
N(E_F): 0.34 states/eV/atom
Energy: -2.98 eV/atom
Space group: Fd-3m, No. 227

Cell lengths 10.3066, 10.3066, 10.3066 Å; angles 60.00, 60.00, 60.00 degrees
Last column: nearest neighbours and their distance in Å.
Positions (direct):
P 0.6250 0.6250 0.6250  6 Ca 2.84
P 0.6250 0.1250 0.6250  6 Ca 2.84
P 0.1250 0.6250 0.6250  6 Ca 2.84
P 0.6250 0.6250 0.1250  6 Ca 2.84
Ca 0.7077 0.2923 0.2923  2 P 2.84
Ca 0.9577 0.5423 0.5423  2 P 2.84
Ca 0.5423 0.5423 0.9577  2 P 2.84
Ca 0.5423 0.9577 0.9577  2 P 2.84
Ca 0.9577 0.5423 0.9577  2 P 2.84
Ca 0.7077 0.2923 0.7077  2 P 2.84
Ca 0.5423 0.9577 0.5423  2 P 2.84
Ca 0.9577 0.9577 0.5423  2 P 2.84
Ca 0.2923 0.7077 0.2923  2 P 2.84
Ca 0.2923 0.7077 0.7077  2 P 2.84
Ca 0.2923 0.2923 0.7077  2 P 2.84
Ca 0.7077 0.7077 0.2923  2 P 2.84
Li 0.1250 0.1250 0.1250  6 Ca 3.55
Li 0.1250 0.6250 0.1250  6 Ca 3.55
Li 0.6250 0.1250 0.1250  6 Ca 3.55
Li 0.1250 0.1250 0.6250  6 Ca 3.55



No. 4
## LiCaP2 (GGA-PBE)

Data for a relaxed LiCaP2 crystal.

Energy of formation from the pure elements: -73 kJ/mol of formula units
Distance to the lowest polymorph of the same formula: 0.531 eV per atom
N(E_F): 0.39 states/eV/atom
Energy: -3.87 eV/atom
Space group: P4mm, No. 99

Cell lengths 3.3966, 3.3966, 7.3761 Å; angles 90.00, 90.00, 90.01 degrees
Last column: nearest neighbours and their distance in Å.
Positions (direct):
Ca 0.0000 0.0000 0.4420  1 P 2.75
Li 0.5000 0.5000 0.8283  1 P 2.45
P 0.0000 0.0000 0.0687  4 P 2.50, 1 Ca 2.75
P 0.5000 0.5000 0.1610  1 Li 2.45, 4 P 2.50



No. 5
## LiCaP2 (GGA-PBE)

Data for a relaxed LiCaP2 crystal.

Energy of formation from the pure elements: -198 kJ/mol of formula units
Distance to the lowest polymorph of the same formula: 0.208 eV per atom
N(E_F): 0.24 states/eV/atom
Energy: -4.20 eV/atom
Space group: I4/mmm, No. 139

Cell lengths 4.9948, 4.9948, 4.9948 Å; angles 129.79, 129.79, 73.75 degrees
Last column: nearest neighbours and their distance in Å.
Positions (direct):
Ca 0.7500 0.2500 0.5000  8 P 2.91, 4 Li 3.00
Li 0.2500 0.7500 0.5000  8 P 2.91, 4 Ca 3.00
P 0.0000 0.0000 0.0000  4 Ca 2.91, 4 Li 2.91, 4 P 3.00
P 0.5000 0.5000 0.0000  4 Li 2.91, 4 Ca 2.91, 4 P 3.00



No. 6
## LiCa3P (GGA-PBE)

Data for a relaxed LiCa3P crystal.

Energy of formation from the pure elements: -46 kJ/mol of formula units
Distance to the lowest polymorph of the same formula: 0.433 eV per atom
N(E_F): 1.01 states/eV/atom
Energy: -2.76 eV/atom
Space group: I-4m2, No. 119

Cell lengths 7.6311, 7.6311, 9.0126 Å; angles 64.95, 64.95, 90.00 degrees
Last column: nearest neighbours and their distance in Å.
Positions (direct):
P 0.0000 0.0000 0.0000  4 Ca 2.59
P 0.2500 0.7500 0.5000  4 Ca 2.68
Ca 0.1538 0.8880 0.2240  2 P 2.59-2.68
Ca 0.1120 0.8462 0.7760  2 P 2.59-2.68
Ca 0.1120 0.3778 0.7760  2 P 2.59-2.68
Ca 0.6222 0.8880 0.2240  2 P 2.59-2.68
Ca 0.3635 0.3635 0.2729  2 Li 3.82, 7 Ca 3.94-4.23, 2 P 4.15
Ca 0.6365 0.6365 0.7271  2 Li 3.82, 7 Ca 3.94-4.23, 2 P 4.15
Li 0.6285 0.1285 0.7430  1 Li 3.51, 4 Ca 3.82-3.90
Li 0.8715 0.3715 0.2570  1 Li 3.51, 4 Ca 3.82-3.90



No. 7
## LiCa3P (GGA-PBE)

Data for a relaxed LiCa3P crystal.

Energy of formation from the pure elements: -247 kJ/mol of formula units
Distance to the lowest polymorph of the same formula: 0.015 eV per atom
N(E_F): 0.59 states/eV/atom
Energy: -3.18 eV/atom
Space group: Cmcm, No. 63

Cell lengths 6.8202, 8.9608, 5.6441 Å; angles 90.00, 114.44, 90.00 degrees
Last column: nearest neighbours and their distance in Å.
Positions (direct):
P 0.9037 0.2500 0.9516  1 Li 2.60, 6 Ca 2.82-2.91
P 0.0963 0.7500 0.0484  1 Li 2.60, 6 Ca 2.82-2.91
Ca 0.7259 0.5502 0.8632  2 P 2.91, 1 Li 3.08
Ca 0.2741 0.4498 0.1368  2 P 2.91, 1 Li 3.08
Ca 0.7259 0.9498 0.8632  2 P 2.91, 1 Li 3.08
Ca 0.2741 0.0502 0.1368  2 P 2.91, 1 Li 3.08
Ca 0.8862 0.2500 0.4430  2 P 2.82
Ca 0.1138 0.7500 0.5570  2 P 2.82
Li 0.4845 0.2500 0.7416  1 P 2.60
Li 0.5155 0.7500 0.2584  1 P 2.60



No. 8
## LiCaP2 (GGA-PBE)

Data for a relaxed LiCaP2 crystal.

Energy of formation from the pure elements: -150 kJ/mol of formula units
Distance to the lowest polymorph of the same formula: 0.332 eV per atom
N(E_F): 0.55 states/eV/atom
Energy: -4.07 eV/atom
Space group: Fm-3m, No. 225

Cell lengths 4.7386, 4.7386, 4.7386 Å; angles 60.00, 60.00, 60.00 degrees
Last column: nearest neighbours and their distance in Å.
Positions (direct):
P 0.2500 0.2500 0.2500  4 Ca 2.90, 4 Li 2.90
P 0.7500 0.7500 0.7500  4 Ca 2.90, 4 Li 2.90
Ca 0.5000 0.5000 0.5000  8 P 2.90
Li 0.0000 0.0000 0.0000  8 P 2.90



No. 9
## Li4CaP3 (GGA-PBE)

Data for a relaxed Li4CaP3 crystal.

Energy of formation from the pure elements: -564 kJ/mol of formula units
N(E_F): 0.44 states/eV/atom
Energy: -3.97 eV/atom
Space group: P4/mmm, No. 123

Cell lengths 4.1147, 4.1147, 8.0418 Å; angles 90.00, 90.00, 90.00 degrees
Last column: nearest neighbours and their distance in Å.
Positions (direct):
P 0.0000 0.0000 0.0000  8 Li 2.45
P 0.5000 0.5000 0.3648  1 P 2.18
P 0.5000 0.5000 0.6352  1 P 2.18
Ca 0.0000 0.0000 0.5000  8 P 3.11, 8 Li 3.38
Li 0.5000 0.0000 0.1664  4 P 2.45-2.60, 1 Li 2.68
Li 0.0000 0.5000 0.1664  4 P 2.45-2.60, 1 Li 2.68
Li 0.5000 0.0000 0.8336  4 P 2.45-2.60, 1 Li 2.68
Li 0.0000 0.5000 0.8336  4 P 2.45-2.60, 1 Li 2.68



No. 10
## LiCa3P (GGA-PBE)

Data for a relaxed LiCa3P crystal.

Energy of formation from the pure elements: 0 kJ/mol of formula units
Distance to the lowest polymorph of the same formula: 0.528 eV per atom
N(E_F): 1.25 states/eV/atom
Energy: -2.67 eV/atom
Space group: Cmcm, No. 63

Cell lengths 8.0329, 8.0329, 5.6309 Å; angles 90.00, 90.00, 102.61 degrees
Last column: nearest neighbours and their distance in Å.
Positions (direct):
P 0.4136 0.5864 0.2500  1 Li 2.28
P 0.5864 0.4136 0.7500  1 Li 2.28
Ca 0.4444 0.2359 0.2500  1 P 2.88, 1 Ca 3.21
Ca 0.7641 0.5556 0.2500  1 P 2.88, 1 Ca 3.21
Ca 0.2359 0.4444 0.7500  1 P 2.88, 1 Ca 3.21
Ca 0.5556 0.7641 0.7500  1 P 2.88, 1 Ca 3.21
Ca 0.0000 0.0000 0.0000  2 Ca 2.82
Ca 0.0000 0.0000 0.5000  2 Ca 2.82
Li 0.2318 0.7682 0.2500  1 P 2.28
Li 0.7682 0.2318 0.7500  1 P 2.28



No. 11
## LiCa3P (GGA-PBE)

Data for a relaxed LiCa3P crystal.

Energy of formation from the pure elements: -164 kJ/mol of formula units
Distance to the lowest polymorph of the same formula: 0.188 eV per atom
N(E_F): 0.21 states/eV/atom
Energy: -3.00 eV/atom
Space group: P6_3/mmc, No. 194

Cell lengths 4.8430, 4.8430, 18.0827 Å; angles 90.00, 90.00, 120.00 degrees
Last column: nearest neighbours and their distance in Å.
Positions (direct):
P 0.3333 0.6667 0.7500  5 Ca 2.76-2.80
P 0.6667 0.3333 0.2500  5 Ca 2.76-2.80
Ca 0.0000 0.0000 0.2500  3 P 2.80
Ca 0.0000 0.0000 0.7500  3 P 2.80
Ca 0.3333 0.6667 0.9027  1 P 2.76
Ca 0.3333 0.6667 0.5973  1 P 2.76
Ca 0.6667 0.3333 0.4027  1 P 2.76
Ca 0.6667 0.3333 0.0973  1 P 2.76
Li 0.0000 0.0000 0.0000  6 Ca 3.30
Li 0.0000 0.0000 0.5000  6 Ca 3.30